Entry from the Open Quantum Materials Database: a relaxed structure of HfFeReSi (GGA-PBE).

Output
V in A^3/atom: 14.325
Space-group type: F-43m (216)
VASP energy in eV/atom: -9.262

Cell: 4.327 4.327 4.327 Å, 60.00 60.00 60.00°
Fractional coordinates of all 4 atoms:
Hf1 0.000 0.000 0.000
Fe1 0.750 0.750 0.750
Re1 0.250 0.250 0.250
Si1 0.500 0.500 0.500

***

Entry from the Open Quantum Materials Database: a relaxed structure of TaCuTcBi (GGA-PBE).

Output
V in A^3/atom: 17.380
Space-group type: F-43m (216)
VASP energy in eV/atom: -7.102

Cell: 4.615 4.615 4.615 Å, 60.00 60.00 60.00°
Fractional coordinates of all 4 atoms:
Ta1 0.000 0.000 0.000
Cu1 0.750 0.750 0.750
Tc1 0.250 0.250 0.250
Bi1 0.500 0.500 0.500

***

Entry from the Open Quantum Materials Database: a relaxed structure of Hf3ZrGa2 (GGA-PBE).

Output
V in A^3/atom: 19.953
Space-group type: Fmm2 (42)
VASP energy in eV/atom: -7.827

Cell: 6.688 5.415 5.453 Å, 75.96 51.76 52.27°
Fractional coordinates of all 6 atoms:
Hf1 0.000 0.000 0.000
Hf2 0.499 0.809 0.191
Hf3 0.809 0.499 0.501
Zr1 0.308 0.308 0.692
Ga1 0.404 0.404 0.096
Ga2 0.904 0.904 0.596

***

Entry from the Open Quantum Materials Database: a relaxed structure of CdH12C4I2N4O4 (GGA-PBE).

Output
V in A^3/atom: 12.055
Space-group type: Fdd2 (43)
VASP energy in eV/atom: -5.501

Cell: 13.287 7.529 14.154 Å, 67.81 31.65 80.54°
Fractional coordinates of all 54 atoms:
Cd1 0.000 0.000 0.000
Cd2 0.250 0.250 0.250
H1 0.125 0.640 0.705
H2 0.162 0.670 0.286
H3 0.300 0.957 0.441
H4 0.327 0.525 0.706
H5 0.368 0.964 0.580
H6 0.426 0.598 0.346
H7 0.502 0.727 0.463
H8 0.525 0.327 0.441
H9 0.544 0.809 0.923
H10 0.545 0.720 0.125
H11 0.598 0.426 0.630
H12 0.620 0.904 0.652
H13 0.640 0.125 0.530
H14 0.670 0.162 0.882
H15 0.720 0.545 0.610
H16 0.727 0.502 0.308
H17 0.787 0.942 0.748
H18 0.809 0.544 0.725
H19 0.809 0.949 0.950
H20 0.904 0.620 0.824
H21 0.942 0.787 0.523
H22 0.949 0.809 0.293
H23 0.957 0.300 0.301
H24 0.964 0.368 0.088
C1 0.042 0.557 0.445
C2 0.141 0.884 0.562
C3 0.294 0.805 0.693
C4 0.557 0.042 0.956
C5 0.688 0.837 0.109
C6 0.805 0.294 0.208
C7 0.837 0.688 0.366
C8 0.884 0.141 0.413
I1 0.161 0.263 0.664
I2 0.263 0.161 0.912
I3 0.338 0.586 0.987
I4 0.586 0.338 0.089
N1 0.045 0.709 0.716
N2 0.375 0.674 0.617
N3 0.534 0.719 0.205
N4 0.633 0.916 0.875
N5 0.674 0.375 0.334
N6 0.709 0.045 0.531
N7 0.719 0.534 0.541
N8 0.916 0.633 0.576
O1 0.024 0.373 0.494
O2 0.060 0.966 0.550
O3 0.141 0.756 0.877
O4 0.373 0.024 0.109
O5 0.700 0.827 0.190
O6 0.756 0.141 0.226
O7 0.827 0.700 0.284
O8 0.966 0.060 0.423

***

Entry from the Open Quantum Materials Database: a relaxed structure of HoInHgS3 (GGA-PBE).

Output
V in A^3/atom: 26.187
Space-group type: Cmcm (63)
VASP energy in eV/atom: -4.306

Cell: 7.824 7.824 10.464 Å, 90.00 90.00 150.62°
Fractional coordinates of all 12 atoms:
Ho1 0.000 0.000 0.000
Ho2 0.000 0.000 0.500
In1 0.330 0.670 0.750
In2 0.670 0.330 0.250
Hg1 0.324 0.676 0.250
Hg2 0.676 0.324 0.750
S1 0.051 0.949 0.250
S2 0.378 0.622 0.027
S3 0.378 0.622 0.473
S4 0.622 0.378 0.527
S5 0.622 0.378 0.973
S6 0.949 0.051 0.750

***

Entry from the Open Quantum Materials Database: a relaxed structure of Y2Ta4P3N3 (GGA-PBE).

Output
V in A^3/atom: 14.585
Space-group type: C2/c (15)
VASP energy in eV/atom: -9.440

Cell: 5.834 5.834 12.303 Å, 103.49 103.49 60.24°
Fractional coordinates of all 24 atoms:
Y1 0.036 0.874 0.610
Y2 0.126 0.964 0.890
Y3 0.874 0.036 0.110
Y4 0.964 0.126 0.390
Ta1 0.200 0.366 0.094
Ta2 0.302 0.465 0.406
Ta3 0.366 0.200 0.594
Ta4 0.465 0.302 0.906
Ta5 0.535 0.698 0.094
Ta6 0.634 0.800 0.406
Ta7 0.698 0.535 0.594
Ta8 0.800 0.634 0.906
P1 0.082 0.287 0.751
P2 0.287 0.082 0.251
P3 0.449 0.551 0.750
P4 0.551 0.449 0.250
P5 0.713 0.918 0.749
P6 0.918 0.713 0.249
N1 0.000 0.500 0.500
N2 0.171 0.659 0.000
N3 0.341 0.829 0.500
N4 0.500 0.000 0.000
N5 0.659 0.171 0.500
N6 0.829 0.341 0.000

***

Entry from the Open Quantum Materials Database: a relaxed structure of Gd2AuF2 (GGA-PBE).

Output
V in A^3/atom: 19.425
Space-group type: P4/mbm (127)
VASP energy in eV/atom: -5.572

Cell: 7.525 7.525 3.431 Å, 90.00 90.00 90.00°
Fractional coordinates of all 10 atoms:
Gd1 0.186 0.314 0.000
Gd2 0.314 0.814 0.000
Gd3 0.686 0.186 0.000
Gd4 0.814 0.686 0.000
Au1 0.000 0.000 0.500
Au2 0.500 0.500 0.500
F1 0.109 0.609 0.000
F2 0.391 0.109 0.000
F3 0.609 0.891 0.000
F4 0.891 0.391 0.000

***

Entry from the Open Quantum Materials Database: a relaxed structure of NaGdNiS3 (GGA-PBE).

Output
V in A^3/atom: 21.542
Space-group type: Cmcm (63)
VASP energy in eV/atom: -5.190

Cell: 6.653 6.653 10.455 Å, 90.00 90.00 146.04°
Fractional coordinates of all 12 atoms:
Na1 0.242 0.758 0.750
Na2 0.758 0.242 0.250
Gd1 0.000 0.000 0.000
Gd2 0.000 0.000 0.500
Ni1 0.480 0.520 0.250
Ni2 0.520 0.480 0.750
S1 0.075 0.925 0.250
S2 0.365 0.635 0.085
S3 0.365 0.635 0.415
S4 0.635 0.365 0.585
S5 0.635 0.365 0.915
S6 0.925 0.075 0.750

***

Entry from the Open Quantum Materials Database: a relaxed structure of TmPd2Pb (GGA-PBE).

Output
V in A^3/atom: 20.680
Space-group type: Pmn2_1 (31)
VASP energy in eV/atom: -5.309

Cell: 4.492 6.150 5.988 Å, 90.00 90.00 90.00°
Fractional coordinates of all 8 atoms:
Tm1 0.000 0.082 0.000
Tm2 0.500 0.918 0.500
Pd1 0.000 0.208 0.479
Pd2 0.000 0.712 0.282
Pd3 0.500 0.288 0.782
Pd4 0.500 0.792 0.979
Pb1 0.000 0.592 0.754
Pb2 0.500 0.408 0.254

***

Entry from the Open Quantum Materials Database: a relaxed structure of GdDyAu2 (GGA-PBE).

Output
V in A^3/atom: 23.889
Space-group type: Amm2 (38)
VASP energy in eV/atom: -4.824
Energy relative to the elements in eV per atom: -0.8767

Cell: 4.669 5.801 5.801 Å, 37.46 90.00 90.00°
Fractional coordinates of all 4 atoms:
Gd1 0.000 0.000 0.000
Dy1 0.500 0.721 0.721
Au1 0.000 0.271 0.271
Au2 0.500 0.449 0.449

***

Entry from the Open Quantum Materials Database: a relaxed structure of Dy2Er3Tm2Ni2Te2 (GGA-PBE).

Output
V in A^3/atom: 25.517
Space-group type: Imm2 (44)
VASP energy in eV/atom: -5.159

Cell: 9.274 9.274 9.274 Å, 156.19 66.89 118.53°
Fractional coordinates of all 11 atoms:
Dy1 0.146 0.000 0.146
Dy2 0.854 0.000 0.854
Er1 0.219 0.853 0.367
Er2 0.486 0.853 0.633
Er3 0.770 0.270 0.500
Tm1 0.464 0.649 0.815
Tm2 0.834 0.649 0.185
Ni1 0.079 0.342 0.738
Ni2 0.604 0.342 0.262
Te1 0.107 0.607 0.500
Te2 0.505 0.505 0.000

***

Entry from the Open Quantum Materials Database: a relaxed structure of Y2Ag2Te3Se (GGA-PBE).

Output
V in A^3/atom: 28.549
Space-group type: Cm (8)
VASP energy in eV/atom: -4.937

Cell: 7.042 7.042 4.609 Å, 90.33 90.33 92.44°
Fractional coordinates of all 8 atoms:
Y1 0.000 0.000 0.000
Y2 0.528 0.528 0.391
Ag1 0.010 0.506 0.177
Ag2 0.506 0.010 0.177
Te1 0.213 0.804 0.487
Te2 0.310 0.310 0.900
Te3 0.804 0.213 0.487
Se1 0.711 0.711 0.914